Entry 1:
DFT (meta-GGA SCAN) results for a crystal of Tl2CdPdBr relaxed with PBEsol.

Values from the calculation:
Crystal system: tetragonal
Fermi-level density of states, states/eV/f.u.: 1.90
Space group: P4/mmm (123)
Raw formation energy, eV/atom: 0.644
Calculated volume, A^3/atom: 35.72

a = 5.836 Å, b = 5.836 Å, c = 5.243 Å
α = 90.00°, β = 90.00°, γ = 90.00°
Fractional coordinates of all 5 atoms:
1 Tl 0.000 0.500 0.000
2 Tl 0.500 0.000 0.000
3 Cd 0.000 0.000 0.500
4 Pd 0.500 0.500 0.500
5 Br 0.000 0.000 0.000

***

Entry 2:
DFT (meta-GGA SCAN) results for a crystal of Cd3PtBr relaxed with PBEsol.

Values from the calculation:
Crystal system: cubic
Fermi-level density of states, states/eV/f.u.: 1.39
Space group: Pm-3m (221)
Raw formation energy, eV/atom: -0.213
Calculated volume, A^3/atom: 27.52

a = 5.163 Å, b = 5.163 Å, c = 5.163 Å
α = 90.00°, β = 90.00°, γ = 90.00°
Fractional coordinates of all 5 atoms:
1 Cd 0.000 0.000 0.500
2 Cd 0.000 0.500 0.000
3 Cd 0.500 0.000 0.000
4 Pt 0.000 0.000 0.000
5 Br 0.500 0.500 0.500